Computed, not measured: a relaxed structure of CaZrS2Cl at the GGA-PBEsol level of DFT.

a b c (Å): 4.960 4.960 4.831
angles (deg): 90.00 90.00 90.00
Sites, in units of the cell vectors:
Ca 0.000 0.000 0.000
Zr 0.500 0.500 0.500
S 0.000 0.500 0.500
S 0.500 0.000 0.500
Cl 0.500 0.500 0.000

Computed properties:
- Formation energy from raw total energies: -34.44 kcal/mol of atoms
- DFT total energy: -29.47 eV for the cell shown